Here is a relaxed Mg2CdNi crystal from Alexandria via LeMat-Bulk. Energies are from GGA-PBEsol.

a = 3.1954 Å, b = 4.5479 Å, c = 5.4471 Å
α = 114.67°, β = 107.06°, γ = 90.00°
Closest atoms and distances in Å follow each position.
Fractional positions:
Mg1 0.9963 0.9963 0.9926  4 Ni 2.78, 2 Mg 3.03, 4 Cd 3.03-3.10
Mg2 0.7827 0.2827 0.5653  2 Ni 2.59, 4 Cd 2.84
Cd1 0.2212 0.7212 0.4424  2 Ni 2.62, 4 Mg 2.84
Ni1 0.4998 0.4998 0.9997  6 Mg 2.59-2.78, 2 Cd 2.62

- energy relative to the elements (kJ per mole of atoms) = -8

***

Here is a relaxed Re2POs crystal from Alexandria via LeMat-Bulk. Energies are from GGA-PBEsol.

a = 2.9059 Å, b = 4.3591 Å, c = 4.4025 Å
α = 90.00°, β = 90.00°, γ = 90.00°
Closest atoms and distances in Å follow each position.
Fractional positions:
Re1 0.0000 0.0000 0.0000  6 Re 2.62-2.91, 4 Os 2.64
Re2 0.5000 0.5000 0.0000  6 Re 2.62-2.91, 4 P 2.64
Os1 0.5000 0.0000 0.5000  4 P 2.62, 4 Re 2.64, 2 Os 2.91
P1 0.0000 0.5000 0.5000  4 Os 2.62, 4 Re 2.64, 2 P 2.91

- energy relative to the elements (kJ per mole of atoms) = 35

***

Here is a relaxed MoPdN3 crystal from Alexandria via LeMat-Bulk. Energies are from GGA-PBEsol.

a = 3.7996 Å, b = 3.7996 Å, c = 3.7996 Å
α = 90.00°, β = 90.00°, γ = 90.00°
Closest atoms and distances in Å follow each position.
Fractional positions:
N1 0.5000 0.0000 0.0000  2 Pd 1.90
N2 0.0000 0.0000 0.5000  2 Pd 1.90
N3 0.0000 0.5000 0.0000  2 Pd 1.90
Mo1 0.5000 0.5000 0.5000  12 N 2.69
Pd1 0.0000 0.0000 0.0000  6 N 1.90

- formation energy from raw total energies (eV/atom) = 1.750

***

Here is a relaxed ReAgBr2 crystal from Alexandria via LeMat-Bulk. Energies are from GGA-PBEsol.

a = 3.0005 Å, b = 4.1963 Å, c = 6.2524 Å
α = 90.00°, β = 102.45°, γ = 90.00°
Closest atoms and distances in Å follow each position.
Fractional positions:
Re1 0.5000 0.5000 0.5000  4 Br 2.56
Ag1 0.0000 0.5000 0.0000  4 Br 2.82, 2 Ag 3.00
Br1 0.5557 0.0000 0.7376  2 Re 2.56, 2 Ag 2.82
Br2 0.4443 0.0000 0.2624  2 Re 2.56, 2 Ag 2.82

- excess energy over the best structure of this formula in the dataset (eV/atom) = 0.0684
- formation energy from raw total energies (eV/atom) = 0.762

***

Here is a relaxed ZrZn2As crystal from Alexandria via LeMat-Bulk. Energies are from GGA-PBEsol.

a = 3.0334 Å, b = 3.0334 Å, c = 8.9697 Å
α = 80.26°, β = 80.26°, γ = 60.00°
Closest atoms and distances in Å follow each position.
Fractional positions:
Zn1 0.7445 0.7445 0.7664  3 Zn 2.64, 3 Zr 2.93
Zn2 0.0030 0.0030 0.9910  3 Zn 2.64, 3 As 2.83
As1 0.2523 0.2523 0.2430  3 Zn 2.83, 3 Zr 2.86, 6 As 3.03
Zr1 0.5001 0.5001 0.4996  3 As 2.86, 3 Zn 2.93, 6 Zr 3.03

- energy relative to the elements (kJ per mole of atoms) = -8

***

Here is a relaxed TaTeP2 crystal from Alexandria via LeMat-Bulk. Energies are from GGA-PBEsol.

a = 3.2486 Å, b = 3.2486 Å, c = 8.4126 Å
α = 78.87°, β = 78.87°, γ = 60.00°
Closest atoms and distances in Å follow each position.
Fractional positions:
P1 0.2659 0.2659 0.2024  3 Ta 2.50
P2 0.7341 0.7341 0.7976  3 Ta 2.50
Te1 0.5000 0.5000 0.5000  6 P 3.08, 6 Te 3.25
Ta1 0.0000 0.0000 0.0000  6 P 2.50

- formation energy from raw total energies (eV/atom) = -0.132

***

Here is a relaxed Hg2C crystal from Alexandria via LeMat-Bulk. Energies are from GGA-PBEsol.

a = 3.8529 Å, b = 3.8529 Å, c = 8.6964 Å
α = 90.00°, β = 90.00°, γ = 120.00°
Closest atoms and distances in Å follow each position.
Fractional positions:
Hg1 0.6667 0.3333 0.2500  3 C 2.22
Hg2 0.0000 0.0000 0.5000  6 Hg 3.11, 6 C 3.11
Hg3 0.3333 0.6667 0.7500  3 C 2.22
Hg4 0.0000 0.0000 0.0000  6 Hg 3.11, 6 C 3.11
C1 0.3333 0.6667 0.2500  3 Hg 2.22
C2 0.6667 0.3333 0.7500  3 Hg 2.22

- energy relative to the elements (kJ per mole of atoms) = 154
- excess energy over the best structure of this formula in the dataset (eV/atom) = 0.0104

***

Here is a relaxed Ba2ZnPt crystal from Alexandria via LeMat-Bulk. Energies are from GGA-PBEsol.

a = 4.5121 Å, b = 4.6085 Å, c = 6.4655 Å
α = 110.88°, β = 90.00°, γ = 90.00°
Closest atoms and distances in Å follow each position.
Fractional positions:
Zn1 0.5000 0.5738 0.1477  2 Pt 2.58
Ba1 0.0000 0.9857 0.9713  2 Pt 3.26, 4 Zn 3.40
Ba2 0.5000 0.2662 0.5324  2 Zn 3.27, 4 Pt 3.40
Pt1 0.0000 0.6770 0.3539  2 Zn 2.58

- energy relative to the elements (kJ per mole of atoms) = -44

***

Here is a relaxed TmGa2Pd crystal from Alexandria via LeMat-Bulk. Energies are from GGA-PBEsol.

a = 4.3370 Å, b = 5.4121 Å, c = 6.4715 Å
α = 90.00°, β = 90.00°, γ = 113.62°
Closest atoms and distances in Å follow each position.
Fractional positions:
Pd1 0.7990 0.5980 0.7500  6 Ga 2.60-2.62, 1 Tm 2.86
Pd2 0.2010 0.4020 0.2500  6 Ga 2.60-2.62, 1 Tm 2.86
Tm1 0.0876 0.1753 0.7500  3 Pd 2.86-3.02, 6 Ga 2.95-3.10
Tm2 0.9124 0.8247 0.2500  3 Pd 2.86-3.02, 6 Ga 2.95-3.10
Ga1 0.6272 0.2543 0.4475  2 Ga 2.56-2.61, 3 Pd 2.60-2.62
Ga2 0.3728 0.7457 0.9475  2 Ga 2.56-2.61, 3 Pd 2.60-2.62
Ga3 0.6272 0.2543 0.0525  2 Ga 2.56-2.61, 3 Pd 2.60-2.62
Ga4 0.3728 0.7457 0.5525  2 Ga 2.56-2.61, 3 Pd 2.60-2.62

- energy relative to the elements (kJ per mole of atoms) = -82

***

Here is a relaxed Ba2Au crystal from Alexandria via LeMat-Bulk. Energies are from GGA-PBEsol.

a = 4.0017 Å, b = 4.0017 Å, c = 7.8937 Å
α = 104.68°, β = 104.68°, γ = 90.00°
Closest atoms and distances in Å follow each position.
Fractional positions:
Au1 0.0000 0.0000 0.0000  8 Ba 3.38
Ba1 0.3749 0.3749 0.7498  4 Au 3.38, 1 Ba 3.69
Ba2 0.6251 0.6251 0.2502  4 Au 3.38, 1 Ba 3.69

- energy relative to the elements (kJ per mole of atoms) = -44

***

For reference, total magnetization by record: 0.0; 0.0; 0.6; 0.0; 0.0; 0.0; 0.0; 0.0; 0.0; 0.0 Bohr magnetons per cell.